Entry 1:
A plane-wave DFT calculation with PBE was carried out for a relaxed structure of DyTlP2O8.

Cell and atoms, written as CIF:
```
data_DyTlP2O8
_symmetry_space_group_name_H-M 'P 1'
_symmetry_Int_Tables_number 1
_symmetry_space_group_name_Hall 'P 1'
_cell_length_a 5.812
_cell_length_b 5.812
_cell_length_c 5.812
_cell_angle_alpha 105.70
_cell_angle_beta 105.70
_cell_angle_gamma 117.32
loop_
_atom_site_label
_atom_site_fract_x
_atom_site_fract_y
_atom_site_fract_z
O1 0.911 0.585 0.674
O2 0.835 0.664 0.171
O3 0.911 0.236 0.326
O4 0.415 0.089 0.326
O5 0.336 0.507 0.171
O6 0.493 0.664 0.829
O7 0.336 0.165 0.829
O8 0.764 0.089 0.674
P1 0.750 0.250 0.500
P2 0.500 0.500 0.000
Dy1 0.000 0.000 0.000
Tl1 0.250 0.750 0.500
```

- density (g/cm³) = 6.2
- total DFT energy (no corrections) (eV per atom) = -7.07
- raw formation energy (eV per atom) = -2.286



Entry 2:
A plane-wave DFT calculation with PBE was carried out for a relaxed structure of DyTl3P2O8.

Cell and atoms, written as CIF:
```
data_DyTl3P2O8
_symmetry_space_group_name_H-M 'P 1'
_symmetry_Int_Tables_number 1
_symmetry_space_group_name_Hall 'P 1'
_cell_length_a 5.715
_cell_length_b 5.715
_cell_length_c 8.337
_cell_angle_alpha 90.00
_cell_angle_beta 90.00
_cell_angle_gamma 120.00
loop_
_atom_site_label
_atom_site_fract_x
_atom_site_fract_y
_atom_site_fract_z
Tl1 0.000 0.000 0.000
Tl2 0.333 0.667 0.776
Tl3 0.667 0.333 0.224
O1 0.667 0.333 0.907
O2 0.185 0.369 0.341
O3 0.185 0.815 0.341
O4 0.369 0.185 0.659
O5 0.631 0.815 0.341
O6 0.815 0.185 0.659
O7 0.333 0.667 0.093
O8 0.815 0.631 0.659
P1 0.333 0.667 0.278
P2 0.667 0.333 0.722
Dy1 0.000 0.000 0.500
```

- density (g/cm³) = 6.8
- total DFT energy (no corrections) (eV per atom) = -6.59
- raw formation energy (eV per atom) = -2.147



Entry 3:
A plane-wave DFT calculation with PBE was carried out for a relaxed structure of DyTlP2O6.

Cell and atoms, written as CIF:
```
data_DyTlP2O6
_symmetry_space_group_name_H-M 'P 1'
_symmetry_Int_Tables_number 1
_symmetry_space_group_name_Hall 'P 1'
_cell_length_a 6.770
_cell_length_b 6.770
_cell_length_c 10.884
_cell_angle_alpha 111.16
_cell_angle_beta 111.16
_cell_angle_gamma 110.75
loop_
_atom_site_label
_atom_site_fract_x
_atom_site_fract_y
_atom_site_fract_z
O1 0.472 0.969 0.797
O2 0.715 0.786 0.265
O3 0.615 0.776 0.013
O4 0.285 0.214 0.735
O5 0.214 0.285 0.235
O6 0.385 0.224 0.987
O7 0.786 0.715 0.765
O8 0.528 0.031 0.203
O9 0.776 0.615 0.513
O10 0.224 0.385 0.487
O11 0.031 0.528 0.703
O12 0.969 0.472 0.297
P1 0.697 0.932 0.185
P2 0.303 0.068 0.815
P3 0.068 0.303 0.315
P4 0.932 0.697 0.685
Tl1 0.832 0.168 0.750
Tl2 0.168 0.832 0.250
Dy1 0.586 0.414 0.250
Dy2 0.414 0.586 0.750
```

- density (g/cm³) = 4.8
- total DFT energy (no corrections) (eV per atom) = -7.12
- raw formation energy (eV per atom) = -2.371



Number 1: DOS(E_F) 0.0 states/eV/cell. Number 2: DOS(E_F) 0.0 states/eV/cell. Number 3: DOS(E_F) 0.0 states/eV/cell.